No. 1
Computed, not measured: a relaxed Cd2B6PbO12 crystal at the GGA-PBE level of DFT.

Structure (POSCAR):
```
Cd2B6PbO12
1.0
6.654 0.000 0.000
0.000 7.102 0.000
-6.605 0.000 19.552
Cd B Pb O
8 24 4 48
Direct
0.045 0.250 0.264 Cd
0.045 0.250 0.764 Cd
0.453 0.731 0.026 Cd
0.453 0.769 0.526 Cd
0.547 0.231 0.474 Cd
0.547 0.269 0.974 Cd
0.955 0.750 0.236 Cd
0.955 0.750 0.736 Cd
0.117 0.188 0.464 B
0.117 0.312 0.964 B
0.139 0.594 0.890 B
0.139 0.906 0.390 B
0.215 0.571 0.124 B
0.215 0.929 0.624 B
0.262 0.562 0.374 B
0.262 0.938 0.874 B
0.407 0.529 0.823 B
0.407 0.971 0.323 B
0.437 0.694 0.241 B
0.437 0.806 0.741 B
0.563 0.194 0.259 B
0.563 0.306 0.759 B
0.593 0.029 0.677 B
0.593 0.471 0.177 B
0.738 0.062 0.126 B
0.738 0.438 0.626 B
0.785 0.071 0.376 B
0.785 0.429 0.876 B
0.861 0.094 0.610 B
0.861 0.406 0.110 B
0.883 0.688 0.036 B
0.883 0.812 0.536 B
0.231 0.081 0.111 Pb
0.231 0.419 0.611 Pb
0.769 0.581 0.389 Pb
0.769 0.919 0.889 Pb
0.091 0.099 0.626 O
0.091 0.401 0.126 O
0.094 0.527 0.316 O
0.094 0.973 0.816 O
0.101 0.696 0.066 O
0.101 0.804 0.566 O
0.193 0.529 0.830 O
0.193 0.971 0.330 O
0.232 0.174 0.004 O
0.232 0.326 0.504 O
0.233 0.036 0.449 O
0.233 0.464 0.949 O
0.242 0.720 0.415 O
0.242 0.780 0.915 O
0.245 0.685 0.190 O
0.245 0.815 0.690 O
0.386 0.104 0.265 O
0.386 0.396 0.765 O
0.422 0.530 0.116 O
0.422 0.970 0.616 O
0.437 0.050 0.894 O
0.437 0.450 0.394 O
0.464 0.719 0.803 O
0.464 0.781 0.303 O
0.536 0.219 0.697 O
0.536 0.281 0.197 O
0.563 0.550 0.606 O
0.563 0.950 0.106 O
0.578 0.030 0.384 O
0.578 0.470 0.884 O
0.614 0.604 0.235 O
0.614 0.896 0.735 O
0.755 0.185 0.310 O
0.755 0.315 0.810 O
0.758 0.220 0.085 O
0.758 0.280 0.585 O
0.767 0.536 0.051 O
0.767 0.964 0.551 O
0.768 0.674 0.496 O
0.768 0.826 0.996 O
0.807 0.029 0.670 O
0.807 0.471 0.170 O
0.899 0.196 0.434 O
0.899 0.304 0.934 O
0.906 0.027 0.184 O
0.906 0.473 0.684 O
0.909 0.599 0.874 O
0.909 0.901 0.374 O
```

Summary:
Space group: P2_1/c, No. 14
Total moment, μB per formula unit: 0.0
ΔE_f (raw), meV/atom: -2090

No. 2
Computed, not measured: a relaxed Pr4Dy3In2 crystal at the GGA-PBE level of DFT.

Structure (POSCAR):
```
Pr4Dy3In2
1.0
5.447 0.000 0.000
-2.722 6.255 0.000
-0.010 -2.182 8.417
Pr Dy In
4 3 2
Direct
0.115 0.230 0.157 Pr
0.332 0.663 0.536 Pr
0.668 0.337 0.464 Pr
0.885 0.770 0.843 Pr
0.000 0.000 0.500 Dy
0.418 0.835 0.144 Dy
0.582 0.165 0.856 Dy
0.205 0.410 0.817 In
0.795 0.590 0.183 In
```

Summary:
E_form, eV per atom: -0.180
Space group: P-1, No. 2
Total moment, μB per formula unit: 0.0

No. 3
Computed, not measured: a relaxed MgTaGaOs crystal at the GGA-PBE level of DFT.

Structure (POSCAR):
```
MgTaGaOs
1.0
0.000 3.157 3.157
3.157 0.000 3.157
3.157 3.157 0.000
Mg Ta Ga Os
1 1 1 1
Direct
0.000 0.000 0.000 Mg
0.250 0.250 0.250 Ta
0.750 0.750 0.750 Ga
0.500 0.500 0.500 Os
```

Summary:
E_form, eV per atom: -0.178
Space group: F-43m, No. 216
Total moment, μB per formula unit: 0.0

No. 4
Computed, not measured: a relaxed LaCuRe2 crystal at the GGA-PBE level of DFT.

Structure (POSCAR):
```
LaCuRe2
1.0
-1.659 2.576 4.634
1.659 -2.576 4.634
1.659 2.576 -4.634
La Cu Re
1 1 2
Direct
0.000 0.000 0.000 La
0.711 0.211 0.500 Cu
0.292 0.792 0.500 Re
0.486 0.486 0.000 Re
```

Summary:
ΔE to the lowest computed polymorph, meV per atom: 525
E_form, eV per atom: 0.646
Space group: Imm2, No. 44
Total moment, μB per formula unit: 0.0